(1)
Density functional theory data (GGA-PBE) for crystalline Tb2Dy4Y5 at its relaxed geometry.

POSCAR file:
```
Tb2Dy4Y5
1.0
3.535 -0.261 -0.015
-1.162 8.435 -1.012
1.879 0.772 11.865
Tb Dy Y
2 4 5
direct
0.736 0.287 0.815
0.264 0.713 0.185
0.547 0.436 0.344
0.142 0.352 0.068
0.453 0.564 0.656
0.858 0.648 0.932
0.897 0.059 0.266
0.103 0.941 0.734
0.176 0.809 0.458
0.500 0.000 0.000
0.824 0.191 0.542
```

## Properties
Formation enthalpy at 0 K, meV/atom: 39
Distance to the lowest polymorph of the same formula, meV/atom: 0
Symmetry: P-1, No. 2

---

(2)
Density functional theory data (GGA-PBE) for crystalline TbDy3Ho2 at its relaxed geometry.

POSCAR file:
```
TbDy3Ho2
1.0
-2.810 -1.009 -6.471
2.576 -7.736 5.972
-4.254 1.244 5.575
Tb Dy Ho
2 6 4
direct
0.250 0.000 0.250
0.750 0.000 0.750
0.250 0.000 0.750
0.750 0.000 0.250
0.805 0.666 0.861
0.195 0.334 0.639
0.805 0.666 0.361
0.195 0.334 0.139
0.305 0.666 0.361
0.305 0.666 0.861
0.695 0.334 0.139
0.695 0.334 0.639
```

## Properties
Formation enthalpy at 0 K, meV/atom: -2
Symmetry: P-1, No. 2

---

(3)
Density functional theory data (GGA-PBE) for crystalline Ag2HBr4 at its relaxed geometry.

POSCAR file:
```
Ag2HBr4
1.0
8.860 -0.811 -4.104
-2.065 7.618 -2.090
-1.679 0.239 7.085
Ag H Br
4 2 8
direct
0.625 0.875 0.250
0.625 0.375 0.750
0.125 0.375 0.750
0.625 0.375 0.250
0.056 0.699 0.421
0.194 0.051 0.079
0.898 0.520 0.764
0.352 0.230 0.736
0.816 0.164 0.264
0.488 0.066 0.396
0.013 0.071 0.904
0.434 0.586 0.236
0.762 0.684 0.104
0.237 0.680 0.596
```

## Properties
Energy, eV per cell: -34.89
Symmetry: P-1, No. 2

---

(4)
Density functional theory data (GGA-PBE) for crystalline Na3PuMg2S6 at its relaxed geometry.

POSCAR file:
```
Na3PuMg2S6
1.0
6.607 -0.001 0.001
-3.303 5.722 0.001
-1.101 -1.907 6.651
Na Pu Mg S
3 1 2 6
direct
0.167 0.833 0.500
0.833 0.167 0.500
0.500 0.500 0.500
0.000 0.000 0.000
0.333 0.667 0.000
0.667 0.333 0.000
0.927 0.595 0.781
0.741 0.741 0.218
0.073 0.405 0.219
0.595 0.927 0.781
0.259 0.259 0.782
0.405 0.073 0.219
```

## Properties
Raw formation energy, eV per atom: -1.2829
Symmetry: C2/m, No. 12

---

(5)
Density functional theory data (GGA-PBE) for crystalline TiSeCl3 at its relaxed geometry.

POSCAR file:
```
TiSeCl3
1.0
-0.225 4.810 1.873
-5.108 0.062 -0.774
-0.744 -1.886 4.752
Cl Se Ti
3 1 1
direct
0.000 0.500 0.000
0.000 0.000 0.500
0.500 0.000 0.000
0.000 0.000 0.000
0.500 0.500 0.500
```

## Properties
Raw formation energy, eV per atom: 0.4772
Symmetry: Pm-3m, No. 221

---

(6)
Density functional theory data (GGA-PBE) for crystalline ScTePb2 at its relaxed geometry.

POSCAR file:
```
ScTePb2
1.0
-2.117 -4.660 -4.112
1.216 -3.573 -5.373
1.975 -4.909 0.987
Pb Sc Te
2 1 1
direct
0.993 0.993 0.006
0.763 0.763 0.739
0.524 0.524 0.473
0.220 0.220 0.282
```

## Properties
Raw formation energy, eV per atom: -0.2898
Symmetry: Cm, No. 8

---

(7)
Density functional theory data (GGA-PBE) for crystalline Th4ZnPSe2 at its relaxed geometry.

POSCAR file:
```
Th4ZnPSe2
1.0
4.192 0.000 0.000
0.000 7.305 0.131
0.000 -2.549 6.897
Th Zn P Se
4 1 1 2
direct
0.500 0.253 0.239
0.500 0.747 0.761
0.000 0.262 0.766
0.000 0.738 0.234
0.000 0.000 0.000
0.500 0.500 0.000
0.500 0.000 0.500
0.000 0.500 0.500
```

## Properties
Raw formation energy, eV per atom: -1.1680
Symmetry: P2/m, No. 10

---

(8)
Density functional theory data (GGA-PBE) for crystalline Zn5I3Br12 at its relaxed geometry.

POSCAR file:
```
Zn5I3Br12
1.0
-9.404 8.455 -8.058
9.165 -7.465 -9.226
-7.860 -9.772 8.221
I Zn Br
12 20 48
direct
0.750 0.375 0.125
0.875 0.750 0.125
0.375 0.750 0.625
0.250 0.125 0.375
0.875 0.125 0.250
0.375 0.625 0.250
0.625 0.375 0.750
0.125 0.875 0.750
0.750 0.875 0.625
0.625 0.250 0.375
0.125 0.250 0.875
0.250 0.625 0.875
0.125 0.375 0.250
0.000 0.500 0.000
0.000 0.000 0.000
0.375 0.250 0.125
0.500 0.000 0.500
0.500 0.500 0.000
0.125 0.750 0.375
0.750 0.125 0.875
0.750 0.625 0.375
0.375 0.125 0.750
0.625 0.875 0.250
0.500 0.500 0.500
0.500 0.000 0.000
0.000 0.000 0.500
0.250 0.375 0.625
0.250 0.875 0.125
0.000 0.500 0.500
0.875 0.250 0.625
0.625 0.750 0.875
0.875 0.625 0.750
0.687 0.110 0.005
0.318 0.505 0.395
0.995 0.390 0.313
0.505 0.187 0.110
0.577 0.687 0.682
0.995 0.605 0.182
0.318 0.813 0.423
0.105 0.923 0.110
0.605 0.995 0.682
0.687 0.577 0.182
0.813 0.495 0.390
0.818 0.895 0.005
0.110 0.687 0.505
0.390 0.395 0.077
0.077 0.895 0.390
0.423 0.110 0.605
0.077 0.182 0.187
0.495 0.682 0.105
0.818 0.923 0.313
0.110 0.423 0.105
0.390 0.995 0.813
0.605 0.610 0.423
0.895 0.818 0.505
0.813 0.318 0.923
0.395 0.390 0.577
0.105 0.182 0.495
0.187 0.682 0.077
0.182 0.077 0.687
0.610 0.005 0.187
0.890 0.577 0.895
0.505 0.318 0.895
0.577 0.890 0.395
0.923 0.818 0.813
0.923 0.105 0.610
0.890 0.313 0.495
0.182 0.105 0.995
0.610 0.605 0.923
0.395 0.005 0.318
0.313 0.423 0.818
0.187 0.505 0.610
0.895 0.077 0.890
0.682 0.187 0.577
0.495 0.813 0.890
0.005 0.395 0.818
0.423 0.313 0.318
0.005 0.610 0.687
0.682 0.495 0.605
0.313 0.890 0.995
```

## Properties
Raw formation energy, eV per atom: -0.3514
Symmetry: Ia-3d, No. 230

---

(9)
Density functional theory data (GGA-PBE) for crystalline Li3MgTl4 at its relaxed geometry.

POSCAR file:
```
Li3MgTl4
1.0
4.820 0.000 1.423
2.200 4.289 1.423
0.077 0.047 8.615
Mg Tl Li
1 4 3
direct
0.000 0.000 0.000
0.871 0.871 0.388
0.380 0.380 0.861
0.129 0.129 0.612
0.620 0.620 0.139
0.253 0.253 0.242
0.747 0.747 0.758
0.500 0.500 0.500
```

## Properties
Formation enthalpy at 0 K, meV/atom: -181
Distance to the lowest polymorph of the same formula, meV/atom: 0
Symmetry: R-3m, No. 166

---

(10)
Density functional theory data (GGA-PBE) for crystalline Mg2InTe at its relaxed geometry.

POSCAR file:
```
Mg2InTe
1.0
5.159 0.052 0.000
-1.117 5.037 0.000
0.000 0.000 3.888
In Mg Te
1 2 1
direct
0.000 0.500 0.500
0.000 0.000 0.000
0.500 0.500 0.000
0.500 0.000 0.500
```

## Properties
Distance to the lowest polymorph of the same formula, meV/atom: 84
Raw formation energy, eV per atom: -0.1976
Symmetry: Cmmm, No. 65

---

(11)
Density functional theory data (GGA-PBE) for crystalline Rb2ZnH3 at its relaxed geometry.

POSCAR file:
```
Rb2ZnH3
1.0
5.830 0.000 0.000
0.000 7.302 0.111
-2.915 -1.745 5.371
Rb Zn H
4 2 6
direct
0.661 0.583 0.327
0.666 0.083 0.327
0.334 0.917 0.673
0.339 0.417 0.673
0.989 0.750 0.000
0.011 0.250 0.000
0.307 0.250 0.000
0.693 0.750 0.000
0.107 0.079 0.229
0.878 0.421 0.771
0.122 0.579 0.229
0.893 0.921 0.771
```

## Properties
Energy, eV per cell: -25.71
Symmetry: C2/c, No. 15

---

(12)
Density functional theory data (GGA-PBE) for crystalline CdTcSn3 at its relaxed geometry.

POSCAR file:
```
CdTcSn3
1.0
-1.889 3.387 3.791
3.658 -1.903 3.523
3.530 3.784 -1.622
Tc Sn Cd
1 3 1
direct
0.500 0.500 0.500
0.000 0.500 0.000
0.000 0.000 0.500
0.500 0.000 0.000
0.000 0.000 0.000
```

## Properties
Formation enthalpy at 0 K, meV/atom: 1315
Distance to the lowest polymorph of the same formula, meV/atom: 1118
Symmetry: Pm-3m, No. 221

---

(13)
Density functional theory data (GGA-PBE) for crystalline Nd8Hg2Rh at its relaxed geometry.

POSCAR file:
```
Nd8Hg2Rh
1.0
-1.476 -5.874 2.151
-4.218 0.540 -8.071
8.899 0.863 1.812
Nd Hg Rh
8 2 1
direct
0.654 0.388 0.160
0.654 0.160 0.388
0.146 0.280 0.280
0.985 0.195 0.804
0.985 0.804 0.195
0.763 0.732 0.732
0.288 0.844 0.618
0.288 0.618 0.844
0.478 0.722 0.288
0.478 0.288 0.722
0.278 0.004 0.004
```

## Properties
Formation enthalpy at 0 K, meV/atom: -251
Distance to the lowest polymorph of the same formula, meV/atom: 32
Symmetry: Cm, No. 8

---

(14)
Density functional theory data (GGA-PBE) for crystalline La3Cd2Au9 at its relaxed geometry.

POSCAR file:
```
La3Cd2Au9
1.0
4.559 0.000 -0.933
-0.960 8.544 -4.691
-0.566 -0.825 8.838
La Cd Au
3 2 9
direct
0.000 0.000 0.000
0.287 0.287 0.574
0.713 0.713 0.426
0.500 0.318 0.000
0.500 0.682 0.000
0.000 0.500 0.000
0.343 0.982 0.685
0.657 0.018 0.315
0.343 0.704 0.685
0.657 0.296 0.315
0.138 0.844 0.276
0.862 0.156 0.724
0.138 0.432 0.276
0.862 0.568 0.724
```

## Properties
Formation enthalpy at 0 K, meV/atom: -600
Symmetry: Immm, No. 71

---

(15)
Density functional theory data (GGA-PBE) for crystalline KZr2Sb at its relaxed geometry.

POSCAR file:
```
KZr2Sb
1.0
5.275 0.000 0.000
2.637 4.568 0.000
2.637 1.523 4.307
K Sb Zr
1 1 2
direct
0.500 0.500 0.500
0.750 0.750 0.750
0.000 0.000 0.000
0.250 0.250 0.250
```

## Properties
Raw formation energy, eV per atom: 0.4571
Symmetry: F-43m, No. 216

---

(16)
Density functional theory data (GGA-PBE) for crystalline Sr2Al4SbAu3 at its relaxed geometry.

POSCAR file:
```
Sr2Al4SbAu3
1.0
-3.083 -3.391 0.240
2.939 -2.497 2.488
-4.004 4.279 9.026
Sr Al Sb Au
2 4 1 3
direct
0.500 0.000 0.245
0.000 0.500 0.755
0.500 0.500 0.000
0.000 0.000 0.000
0.500 0.000 0.643
0.000 0.500 0.357
0.500 0.500 0.500
0.000 0.000 0.500
0.500 0.000 0.879
0.000 0.500 0.121
```

## Properties
Raw formation energy, eV per atom: -0.5647
Symmetry: P-4m2, No. 115

---

(17)
Density functional theory data (GGA-PBE) for crystalline CeNdIn4 at its relaxed geometry.

POSCAR file:
```
CeNdIn4
1.0
-1.216 -3.829 2.596
5.117 -2.964 2.432
0.208 1.202 6.277
Ce Nd In
1 1 4
direct
0.551 0.449 0.449
0.446 0.054 0.054
0.161 0.632 0.046
0.840 0.865 0.454
0.840 0.454 0.865
0.161 0.046 0.632
```

## Properties
Formation enthalpy at 0 K, meV/atom: -408
Distance to the lowest polymorph of the same formula, meV/atom: 0
Symmetry: Imm2, No. 44

---

(18)
Density functional theory data (GGA-PBE) for crystalline PaV2W at its relaxed geometry.

POSCAR file:
```
PaV2W
1.0
2.830 0.000 0.000
1.415 2.450 0.000
1.415 0.817 10.361
Pa W V
1 1 2
direct
0.500 0.500 0.500
0.000 0.000 0.000
0.080 0.080 0.759
0.920 0.920 0.241
```

## Properties
Formation enthalpy at 0 K, meV/atom: 762
Distance to the lowest polymorph of the same formula, meV/atom: 652
Symmetry: R-3m, No. 166

---

(19)
Density functional theory data (GGA-PBE) for crystalline Cu3NiPt6 at its relaxed geometry.

POSCAR file:
```
Cu3NiPt6
1.0
6.086 -1.472 -1.040
2.060 4.797 0.152
2.060 1.746 4.470
Cu Ni Pt
3 1 6
direct
0.336 0.088 0.088
0.664 0.912 0.912
0.000 0.000 0.000
0.500 0.500 0.500
0.296 0.085 0.583
0.704 0.417 0.915
0.704 0.915 0.417
0.296 0.583 0.085
0.105 0.622 0.622
0.895 0.378 0.378
```

## Properties
Formation enthalpy at 0 K, meV/atom: 80
Distance to the lowest polymorph of the same formula, meV/atom: 158
Symmetry: C2/m, No. 12

---

(20)
Density functional theory data (GGA-PBE) for crystalline ThInCl5 at its relaxed geometry.

POSCAR file:
```
ThInCl5
1.0
5.156 0.000 2.087
1.771 7.045 3.036
-0.181 -0.433 7.859
Th In Cl
1 1 5
direct
0.504 0.500 0.500
0.004 0.000 0.000
0.733 0.272 0.272
0.004 0.500 0.500
0.277 0.728 0.728
0.504 0.207 0.793
0.504 0.793 0.207
```

## Properties
Raw formation energy, eV per atom: -1.7626
Symmetry: Immm, No. 71